# Pa2CoNi12P3 | Alexandria | PBE | optimized geometry
# Formation energy from the elements = -45 meV per atom
# Magnetic moment = 1.95 μB/f.u.
# D(E_F) = 12.50 states/eV per cell
# Calculated density = 8.23 g cm⁻³
data_Pa2CoNi12P3
_chemical_formula_sum 'Pa2 Co1 Ni12 P3'
_cell_length_a 7.033
_cell_length_b 7.033
_cell_length_c 7.033
_cell_angle_alpha 63.70
_cell_angle_beta 63.70
_cell_angle_gamma 63.70
_symmetry_space_group_name_H-M 'P 1'
_symmetry_Int_Tables_number 1
_symmetry_space_group_name_Hall 'P 1'
loop_
_atom_site_label
_atom_site_type_symbol
_atom_site_fract_x
_atom_site_fract_y
_atom_site_fract_z
Pa1 Pa 0.120 0.120 0.120
Pa2 Pa 0.880 0.880 0.880
Co1 Co 0.500 0.500 0.500
Ni1 Ni 0.119 0.633 0.633
Ni2 Ni 0.141 0.141 0.614
Ni3 Ni 0.141 0.614 0.141
Ni4 Ni 0.367 0.367 0.881
Ni5 Ni 0.367 0.881 0.367
Ni6 Ni 0.386 0.859 0.859
Ni7 Ni 0.614 0.141 0.141
Ni8 Ni 0.633 0.119 0.633
Ni9 Ni 0.633 0.633 0.119
Ni10 Ni 0.859 0.386 0.859
Ni11 Ni 0.859 0.859 0.386
Ni12 Ni 0.881 0.367 0.367
P1 P 0.000 0.500 0.500
P2 P 0.500 0.000 0.500
P3 P 0.500 0.500 0.000

***

# VZn2Ga4 | Alexandria | PBE | optimized geometry
# Formation energy from the elements = 162 meV per atom
# Magnetic moment = 2.55 μB/f.u.
# D(E_F) = 3.67 states/eV per cell
# Calculated density = 6.52 g cm⁻³
data_VZn2Ga4
_chemical_formula_sum 'V1 Zn2 Ga4'
_cell_length_a 5.509
_cell_length_b 5.509
_cell_length_c 5.509
_cell_angle_alpha 100.70
_cell_angle_beta 100.70
_cell_angle_gamma 128.96
_symmetry_space_group_name_H-M 'P 1'
_symmetry_Int_Tables_number 1
_symmetry_space_group_name_Hall 'P 1'
loop_
_atom_site_label
_atom_site_type_symbol
_atom_site_fract_x
_atom_site_fract_y
_atom_site_fract_z
V1 V 0.000 0.000 0.000
Zn1 Zn 0.250 0.750 0.500
Zn2 Zn 0.750 0.250 0.500
Ga1 Ga 0.308 0.308 0.617
Ga2 Ga 0.308 0.692 0.000
Ga3 Ga 0.692 0.308 0.000
Ga4 Ga 0.692 0.692 0.383

***

# TbHoBeCd | Alexandria | PBE | optimized geometry
# Formation energy from the elements = -38 meV per atom
# Magnetic moment = 0.00 μB/f.u.
# D(E_F) = 4.01 states/eV per cell
# Calculated density = 7.91 g cm⁻³
data_TbHoBeCd
_chemical_formula_sum 'Tb1 Ho1 Be1 Cd1'
_cell_length_a 5.094
_cell_length_b 5.094
_cell_length_c 5.094
_cell_angle_alpha 60.00
_cell_angle_beta 60.00
_cell_angle_gamma 60.00
_symmetry_space_group_name_H-M 'P 1'
_symmetry_Int_Tables_number 1
_symmetry_space_group_name_Hall 'P 1'
loop_
_atom_site_label
_atom_site_type_symbol
_atom_site_fract_x
_atom_site_fract_y
_atom_site_fract_z
Tb1 Tb 0.000 0.000 0.000
Ho1 Ho 0.500 0.500 0.500
Be1 Be 0.250 0.250 0.250
Cd1 Cd 0.750 0.750 0.750

***

# LaNiSe2 | Alexandria | PBE | optimized geometry
# Magnetic moment = 0.00 μB/f.u.
# D(E_F) = 3.38 states/eV per cell
# Calculated density = 5.80 g cm⁻³
# ΔE_f (raw) = -1133 meV/atom
data_LaNiSe2
_chemical_formula_sum 'La1 Ni1 Se2'
_cell_length_a 5.894
_cell_length_b 5.894
_cell_length_c 4.678
_cell_angle_alpha 93.47
_cell_angle_beta 93.47
_cell_angle_gamma 38.84
_symmetry_space_group_name_H-M 'P 1'
_symmetry_Int_Tables_number 1
_symmetry_space_group_name_Hall 'P 1'
loop_
_atom_site_label
_atom_site_type_symbol
_atom_site_fract_x
_atom_site_fract_y
_atom_site_fract_z
La1 La 0.000 0.000 0.000
Ni1 Ni 0.288 0.288 0.211
Se1 Se 0.465 0.465 0.493
Se2 Se 0.721 0.721 0.994